# Nd3Sm2Ir2

A relaxed Nd3Sm2Ir2 crystal (GGA-PBE, Alexandria).

Properties
Energy   -45.0 eV/f.u.

abc: 3.9561 6.5144 9.1284
angles: 114.46 90.00 107.68
Fractional coordinates of all 7 atoms:
Nd  0.6165  0.2329  0.4269
Nd  0.3835  0.7671  0.5731
Nd  0.5000  0.0000  0.0000
Sm  0.1712  0.3423  0.8104
Sm  0.8288  0.6577  0.1896
Ir  0.8182  0.6363  0.7589
Ir  0.1818  0.3637  0.2411